Density functional theory data (PBE) for crystalline CeFe2H at its relaxed geometry.

abc: 2.863 2.863 6.867
angles: 77.97 77.97 60.00
Each line ends with the local moment (μB).
Atoms (fractional coordinates):
H 0.500 0.500 0.500  -0.02
Fe 0.119 0.119 0.644  1.75
Fe 0.881 0.881 0.356  1.75
Ce 0.000 0.000 0.000  -0.32

## Properties
Energy   -24.9 eV/cell
DOS at the Fermi energy   3.30 states/eV per cell
Total magnetic moment   3.02 μB/f.u.
Density   8.9 g/cm³